# ScAuS3

An optimized crystal structure of ScAuS3 (GGA-PBE, the Alexandria database).

```
5
Lattice="4.7781 0.0000 0.0000 0.0000 4.7781 0.0000 0.0000 0.0000 4.7781" Properties=species:S:1:pos:R:3 pbc="T T T"
Sc 0.0000 0.0000 0.0000
Au 2.3890 2.3890 2.3890
S 0.0000 2.3890 2.3890
S 2.3890 0.0000 2.3890
S 2.3890 2.3890 0.0000
```

## Properties
The density of states at the Fermi level is 1.00 states/eV/cell. The total moment is 0.00 μB per formula unit. Its offset from the most stable computed form is 0.075 eV per atom.